# 1
Computed, not measured: a relaxed HgMoPd3 crystal at the PBE-GGA level of DFT.

Properties
- Density of states at the Fermi level: 3.63 states/eV/f.u.
- Formation enthalpy at 0 K: 1451 meV per atom
- Symmetry: No. 221
- Relative energy among the computed polymorphs: 427 meV/atom
- Calculated total energy: -3.89 eV per atom

abc: 4.983 4.983 4.983
angles: 90.00 90.00 90.00
Element x y z (fractional)
1 Hg 0.000 0.000 0.000
2 Mo 0.500 0.500 0.500
3 Pd 0.000 0.000 0.500
4 Pd 0.000 0.500 0.000
5 Pd 0.500 0.000 0.000

***

# 2
Computed, not measured: a relaxed Ba2CaMgO crystal at the PBE-GGA level of DFT.

Properties
- Density of states at the Fermi level: 3.63 states/eV/f.u.
- Symmetry: No. 123
- Formation energy (no corrections): -1.0456 eV per atom
- Calculated total energy: -3.53 eV per atom

abc: 5.881 5.881 4.682
angles: 90.00 90.00 90.00
Element x y z (fractional)
1 Ba 0.000 0.500 0.000
2 Ba 0.500 0.000 0.000
3 Ca 0.000 0.000 0.500
4 Mg 0.500 0.500 0.500
5 O 0.000 0.000 0.000

***

# 3
Computed, not measured: a relaxed HoSn2Ru crystal at the PBE-GGA level of DFT.

Properties
- Density of states at the Fermi level: 2.46 states/eV/f.u.
- Formation enthalpy at 0 K: -371 meV per atom
- Symmetry: No. 166
- Calculated total energy: -5.84 eV per atom

abc: 4.495 4.495 15.166
angles: 90.00 90.00 120.00
Element x y z (fractional)
1 Ho 0.000 0.000 0.000
2 Ho 0.333 0.667 0.667
3 Ho 0.667 0.333 0.333
4 Sn 0.000 0.000 0.226
5 Sn 0.000 0.000 0.774
6 Sn 0.333 0.667 0.440
7 Sn 0.333 0.667 0.893
8 Sn 0.667 0.333 0.107
9 Sn 0.667 0.333 0.560
10 Ru 0.000 0.000 0.500
11 Ru 0.333 0.667 0.167
12 Ru 0.667 0.333 0.833

***

# 4
Computed, not measured: a relaxed Sc3HSe crystal at the PBE-GGA level of DFT.

Properties
- Density of states at the Fermi level: 3.72 states/eV/f.u.
- Symmetry: No. 11
- Relative energy among the computed polymorphs: 0 meV/atom
- Calculated total energy: -5.90 eV per atom

abc: 6.042 3.542 9.258
angles: 90.00 94.88 90.00
Element x y z (fractional)
1 Sc 0.153 0.250 0.110
2 Sc 0.209 0.750 0.456
3 Sc 0.255 0.250 0.776
4 Sc 0.745 0.750 0.224
5 Sc 0.791 0.250 0.544
6 Sc 0.847 0.750 0.890
7 H 0.008 0.250 0.904
8 H 0.992 0.750 0.096
9 Se 0.467 0.250 0.325
10 Se 0.533 0.750 0.675